# SrFeOs2

SrFeOs2 after structural relaxation (PBE, Alexandria).

The structure in POSCAR format:
```
SrFeOs2
1.0
4.1385 0.0000 0.0000
0.0000 1.4246 6.4089
0.0000 -1.4246 6.4089
Sr Fe Os
1 1 2
Direct
0.0000 0.0000 0.0000
0.5000 0.6505 0.6505
0.0000 0.7542 0.7542
0.5000 0.3202 0.3202
```

## Properties
The value obtained for the offset from the most stable computed form is 364 meV per atom. For the density of states at the Fermi level, the calculation gives 5.14 states/eV per cell. As for the space group: Amm2.